# PBE YVAg3, relaxed
# ΔE_f, eV per formula unit: 3.17
data_YVAg3
_chemical_formula_sum 'Y1 V1 Ag3'
_symmetry_space_group_name_H-M 'P m -3 m'
_symmetry_Int_Tables_number 221
_symmetry_space_group_name_Hall '-P 4 2 3'
_cell_length_a 4.942
_cell_length_b 4.942
_cell_length_c 4.942
_cell_angle_alpha 90.00
_cell_angle_beta 90.00
_cell_angle_gamma 90.00
loop_
_atom_site_label
_atom_site_type_symbol
_atom_site_fract_x
_atom_site_fract_y
_atom_site_fract_z
Y1 Y 0.000 0.000 0.000
V1 V 0.500 0.500 0.500
Ag1 Ag 0.000 0.500 0.500